Computed, not measured: Cs3Ce3CrS8 after structural relaxation at the PBE level of DFT. Values from VASP.

Structure (Quantum ESPRESSO input):
```
&SYSTEM
  ibrav = 0, nat = 15, ntyp = 4
/
ATOMIC_SPECIES
Cs 132.91 Cs.upf
Ce 140.12 Ce.upf
Cr 52.00 Cr.upf
S 32.06 S.upf
ATOMIC_POSITIONS angstrom
Cs 0.0000 0.0000 0.0000
Cs -2.0316 3.5226 -0.0140
Cs 2.0351 3.5205 -0.0124
Ce 4.0649 -2.3337 4.0989
Ce 2.0332 1.1889 4.0848
Ce -2.0335 1.1909 4.0832
Cr -0.0019 -2.3316 4.0972
S 0.0013 2.3582 2.5550
S 4.0652 0.0196 5.6147
S 4.0678 2.5584 2.7081
S -0.0013 -0.1806 5.4616
S 6.2740 -1.2668 2.7233
S -2.2075 3.6446 5.4464
S 1.8578 -1.2646 2.7217
S 2.2086 3.6424 5.4480
CELL_PARAMETERS angstrom
8.1335 -0.0041 0.0033
-4.0633 7.0452 -0.0280
-0.0037 -4.6633 8.1944
```

Values from the calculation:
- energy relative to the elements, uncorrected (eV per atom) = -1.53
- total magnetic moment (μB per formula unit) = 5.0